The following is a DFT calculation (PBE-GGA) of La2TlSnIr after structural relaxation.

Cell lengths 8.5153, 4.3738, 8.5266 Å; angles 90.00, 111.94, 90.00 degrees
Space group P2_1/m (No. 11)
Inequivalent atoms, fractional coordinates:
La 0.0877 0.2500 0.3253 (multiplicity 2)
La 0.3253 0.7500 0.0861 (multiplicity 2)
Tl 0.4084 0.7500 0.5933 (multiplicity 2)
Sn 0.2439 0.2500 0.7549 (multiplicity 2)
Ir 0.0512 0.2500 0.9483 (multiplicity 2)

Energy above the most stable polymorph in this dataset, meV/atom: 0
M_tot, μB per formula unit: 0.00
Uncorrected energy, eV/atom: -5.62
Formation enthalpy at 0 K, eV per atom: -0.602
Fermi-level density of states, states/eV/atom: 0.705

The following is a DFT calculation (PBE-GGA) of La2TlSnIr after structural relaxation.

Cell lengths 5.5792, 5.5792, 5.1238 Å; angles 90.00, 90.00, 90.00 degrees
Space group P4/mmm (No. 123)
Inequivalent atoms, fractional coordinates:
La 0.0000 0.5000 0.0000 (multiplicity 2)
Tl 0.0000 0.0000 0.5000 (multiplicity 1)
Sn 0.5000 0.5000 0.5000 (multiplicity 1)
Ir 0.5000 0.5000 0.0000 (multiplicity 1)

Energy above the most stable polymorph in this dataset, meV/atom: 99
M_tot, μB per formula unit: 0.00
Uncorrected energy, eV/atom: -5.52
Formation enthalpy at 0 K, eV per atom: -0.503
Fermi-level density of states, states/eV/atom: 0.719

The following is a DFT calculation (PBE-GGA) of La2YSnIr after structural relaxation.

Cell lengths 5.4867, 5.4867, 5.4993 Å; angles 90.00, 90.00, 90.00 degrees
Space group P4/mmm (No. 123)
Inequivalent atoms, fractional coordinates:
La 0.0000 0.5000 0.0000 (multiplicity 2)
Y 0.0000 0.0000 0.5000 (multiplicity 1)
Sn 0.5000 0.5000 0.5000 (multiplicity 1)
Ir 0.0000 0.0000 0.0000 (multiplicity 1)

M_tot, μB per formula unit: 0.00
Uncorrected energy, eV/atom: -6.39
Formation enthalpy at 0 K, eV per atom: -0.558
Fermi-level density of states, states/eV/atom: 0.802

The following is a DFT calculation (PBE-GGA) of La2YSn3Ir4 after structural relaxation.

Cell lengths 4.4220, 4.4220, 11.6722 Å; angles 90.00, 90.00, 90.00 degrees
Space group P-4m2 (No. 115)
Inequivalent atoms, fractional coordinates:
La 0.0000 0.5000 0.2353 (multiplicity 2)
Y 0.0000 0.0000 0.5000 (multiplicity 1)
Sn 0.0000 0.5000 0.8747 (multiplicity 2)
Sn 0.5000 0.5000 0.5000 (multiplicity 1)
Ir 0.0000 0.0000 0.0000 (multiplicity 1)
Ir 0.0000 0.5000 0.6494 (multiplicity 2)
Ir 0.5000 0.5000 0.0000 (multiplicity 1)

M_tot, μB per formula unit: 0.00
Uncorrected energy, eV/atom: -7.03
Formation enthalpy at 0 K, eV per atom: -0.657
Fermi-level density of states, states/eV/atom: 0.600

The following is a DFT calculation (PBE-GGA) of La2ZnSn3Ir4 after structural relaxation.

Cell lengths 4.4026, 4.4026, 11.1405 Å; angles 90.00, 90.00, 90.00 degrees
Space group P-4m2 (No. 115)
Inequivalent atoms, fractional coordinates:
La 0.0000 0.5000 0.2447 (multiplicity 2)
Zn 0.5000 0.5000 0.0000 (multiplicity 1)
Sn 0.0000 0.0000 0.0000 (multiplicity 1)
Sn 0.0000 0.5000 0.6311 (multiplicity 2)
Ir 0.0000 0.0000 0.5000 (multiplicity 1)
Ir 0.0000 0.5000 0.8668 (multiplicity 2)
Ir 0.5000 0.5000 0.5000 (multiplicity 1)

M_tot, μB per formula unit: 0.00
Uncorrected energy, eV/atom: -6.42
Formation enthalpy at 0 K, eV per atom: -0.563
Fermi-level density of states, states/eV/atom: 0.630

The following is a DFT calculation (PBE-GGA) of La2ZnSn4Ir3 after structural relaxation.

Cell lengths 4.5510, 4.5510, 10.9613 Å; angles 90.00, 90.00, 90.00 degrees
Space group P-4m2 (No. 115)
Inequivalent atoms, fractional coordinates:
La 0.0000 0.5000 0.2474 (multiplicity 2)
Zn 0.0000 0.0000 0.5000 (multiplicity 1)
Sn 0.0000 0.0000 0.0000 (multiplicity 1)
Sn 0.0000 0.5000 0.6334 (multiplicity 2)
Sn 0.5000 0.5000 0.0000 (multiplicity 1)
Ir 0.0000 0.5000 0.8709 (multiplicity 2)
Ir 0.5000 0.5000 0.5000 (multiplicity 1)

M_tot, μB per formula unit: 0.00
Uncorrected energy, eV/atom: -5.93
Formation enthalpy at 0 K, eV per atom: -0.559
Fermi-level density of states, states/eV/atom: 0.627